CaPrSn2 | Alexandria | PBE-GGA | optimized geometry; symmetry = Amm2, No. 38; ρ = 5.68 g cm⁻³; total moment = 0.000 μB/atom; DOS(E_F) = 2.53 states/eV per cell; energy of formation from the pure elements = -706 meV/atom
1.0
4.485 0.000 -1.634
0.000 4.367 0.000
-0.232 0.000 6.327
Sn Ca Pr
2 1 1
Direct
0.996 0.000 0.530
0.170 0.500 0.879
0.447 0.500 0.434
0.718 0.000 0.975